*a*
# BaTeCl2 (PBE, optimized geometry)
# N(E_F)   2.8 states/eV/f.u.
data_BaTeCl2
_chemical_formula_sum 'Ba1 Te1 Cl2'
_symmetry_space_group_name_H-M 'P 1'
_symmetry_Int_Tables_number 1
_cell_length_a 5.089
_cell_length_b 5.089
_cell_length_c 4.551
_cell_angle_alpha 90.00
_cell_angle_beta 90.00
_cell_angle_gamma 90.00
loop_
_symmetry_equiv_pos_as_xyz
'x,y,z'
loop_
_atom_site_label
_atom_site_fract_x
_atom_site_fract_y
_atom_site_fract_z
_atom_site_occupancy
Ba1 0.000 0.000 0.000 1
Te1 0.500 0.500 0.000 1
Cl1 0.000 0.500 0.500 1
Cl2 0.500 0.000 0.500 1

***

*b*
# BaTeCl2 (PBE, optimized geometry)
# N(E_F)   1.1 states/eV/f.u.
data_BaTeCl2
_chemical_formula_sum 'Ba1 Te1 Cl2'
_symmetry_space_group_name_H-M 'P 1'
_symmetry_Int_Tables_number 1
_cell_length_a 6.183
_cell_length_b 6.182
_cell_length_c 5.299
_cell_angle_alpha 64.64
_cell_angle_beta 64.62
_cell_angle_gamma 50.74
loop_
_symmetry_equiv_pos_as_xyz
'x,y,z'
loop_
_atom_site_label
_atom_site_fract_x
_atom_site_fract_y
_atom_site_fract_z
_atom_site_occupancy
Ba1 0.000 0.000 0.000 1
Te1 0.500 0.500 0.500 1
Cl1 0.000 0.500 0.500 1
Cl2 0.500 0.000 0.000 1

***

Calculated relative energies: *a* 112; *b* 0, given in meV/atom

***

*a*
The following is a DFT calculation (PBE) of a geometry-optimized BaTeCl2 structure.

```
data_BaTeCl2
_chemical_formula_sum 'Ba1 Te1 Cl2'
_symmetry_space_group_name_H-M 'P 1'
_symmetry_Int_Tables_number 1
_cell_length_a 5.896
_cell_length_b 4.633
_cell_length_c 5.947
_cell_angle_alpha 90.00
_cell_angle_beta 100.67
_cell_angle_gamma 90.00
loop_
_symmetry_equiv_pos_as_xyz
'x,y,z'
loop_
_atom_site_label
_atom_site_fract_x
_atom_site_fract_y
_atom_site_fract_z
_atom_site_occupancy
Ba1 0.000 0.000 0.000 1
Te1 0.500 0.000 0.500 1
Cl1 0.217 0.500 0.782 1
Cl2 0.783 0.500 0.218 1
```

***

*b*
The following is a DFT calculation (PBE) of a geometry-optimized BaTeCl2 structure.

```
data_BaTeCl2
_chemical_formula_sum 'Ba1 Te1 Cl2'
_symmetry_space_group_name_H-M 'P 1'
_symmetry_Int_Tables_number 1
_cell_length_a 5.188
_cell_length_b 5.188
_cell_length_c 5.942
_cell_angle_alpha 90.00
_cell_angle_beta 90.00
_cell_angle_gamma 90.00
loop_
_symmetry_equiv_pos_as_xyz
'x,y,z'
loop_
_atom_site_label
_atom_site_fract_x
_atom_site_fract_y
_atom_site_fract_z
_atom_site_occupancy
Ba1 0.000 0.000 0.000 1
Te1 0.500 0.500 0.913 1
Cl1 0.000 0.000 0.505 1
Cl2 0.500 0.500 0.320 1
```

***

*c*
# BaTeCl2 (PBE, optimized geometry)
# N(E_F)   1.4 states/eV/f.u.
data_BaTeCl2
_chemical_formula_sum 'Ba1 Te1 Cl2'
_symmetry_space_group_name_H-M 'P 1'
_symmetry_Int_Tables_number 1
_cell_length_a 10.513
_cell_length_b 10.513
_cell_length_c 10.513
_cell_angle_alpha 25.69
_cell_angle_beta 25.69
_cell_angle_gamma 25.69
loop_
_symmetry_equiv_pos_as_xyz
'x,y,z'
loop_
_atom_site_label
_atom_site_fract_x
_atom_site_fract_y
_atom_site_fract_z
_atom_site_occupancy
Ba1 0.000 0.000 0.000 1
Te1 0.500 0.500 0.500 1
Cl1 0.381 0.381 0.381 1
Cl2 0.619 0.619 0.619 1

***

Calculated relative energies: *a* 121; *b* 0; *c* 33, given in meV/atom

***

*a*
# BaTeCl2 (PBE, optimized geometry)
# N(E_F)   0.9 states/eV/f.u.
data_BaTeCl2
_chemical_formula_sum 'Ba1 Te1 Cl2'
_symmetry_space_group_name_H-M 'P 1'
_symmetry_Int_Tables_number 1
_cell_length_a 6.849
_cell_length_b 6.849
_cell_length_c 6.849
_cell_angle_alpha 142.11
_cell_angle_beta 142.11
_cell_angle_gamma 54.66
loop_
_symmetry_equiv_pos_as_xyz
'x,y,z'
loop_
_atom_site_label
_atom_site_fract_x
_atom_site_fract_y
_atom_site_fract_z
_atom_site_occupancy
Ba1 0.000 0.000 0.000 1
Te1 0.750 0.250 0.500 1
Cl1 0.250 0.750 0.500 1
Cl2 0.500 0.500 0.000 1

***

*b*
# BaTeCl2 (PBE, optimized geometry)
# N(E_F)   3.1 states/eV/f.u.
data_BaTeCl2
_chemical_formula_sum 'Ba1 Te1 Cl2'
_symmetry_space_group_name_H-M 'P 1'
_symmetry_Int_Tables_number 1
_cell_length_a 5.593
_cell_length_b 5.593
_cell_length_c 5.593
_cell_angle_alpha 60.00
_cell_angle_beta 60.00
_cell_angle_gamma 60.00
loop_
_symmetry_equiv_pos_as_xyz
'x,y,z'
loop_
_atom_site_label
_atom_site_fract_x
_atom_site_fract_y
_atom_site_fract_z
_atom_site_occupancy
Ba1 0.000 0.000 0.000 1
Te1 0.500 0.500 0.500 1
Cl1 0.250 0.250 0.250 1
Cl2 0.750 0.750 0.750 1

***

Calculated relative energies: *a* 0; *b* 116, given in meV/atom

***

*a*
# Ba4Te3Cl (PBE, optimized geometry)
# N(E_F)   3.1 states/eV/f.u.
data_Ba4Te3Cl
_chemical_formula_sum 'Ba4 Te3 Cl1'
_symmetry_space_group_name_H-M 'P 1'
_symmetry_Int_Tables_number 1
_cell_length_a 8.496
_cell_length_b 8.496
_cell_length_c 8.496
_cell_angle_alpha 131.67
_cell_angle_beta 131.67
_cell_angle_gamma 70.76
loop_
_symmetry_equiv_pos_as_xyz
'x,y,z'
loop_
_atom_site_label
_atom_site_fract_x
_atom_site_fract_y
_atom_site_fract_z
_atom_site_occupancy
Ba1 0.000 0.500 0.500 1
Ba2 0.249 0.249 0.000 1
Ba3 0.500 0.000 0.500 1
Ba4 0.751 0.751 0.000 1
Te1 0.250 0.750 0.500 1
Te2 0.500 0.500 0.000 1
Te3 0.750 0.250 0.500 1
Cl1 0.000 0.000 0.000 1

***

*b*
# Ba4Te3Cl (PBE, optimized geometry)
# N(E_F)   2.6 states/eV/f.u.
data_Ba4Te3Cl
_chemical_formula_sum 'Ba4 Te3 Cl1'
_symmetry_space_group_name_H-M 'P 1'
_symmetry_Int_Tables_number 1
_cell_length_a 15.951
_cell_length_b 15.951
_cell_length_c 15.951
_cell_angle_alpha 17.82
_cell_angle_beta 17.82
_cell_angle_gamma 17.82
loop_
_symmetry_equiv_pos_as_xyz
'x,y,z'
loop_
_atom_site_label
_atom_site_fract_x
_atom_site_fract_y
_atom_site_fract_z
_atom_site_occupancy
Ba1 0.123 0.123 0.123 1
Ba2 0.372 0.372 0.372 1
Ba3 0.628 0.628 0.628 1
Ba4 0.877 0.877 0.877 1
Te1 0.255 0.255 0.255 1
Te2 0.500 0.500 0.500 1
Te3 0.745 0.745 0.745 1
Cl1 0.000 0.000 0.000 1

***

Calculated relative energies: *a* 0; *b* 9, given in meV/atom

***

*a*
# BaThCl6 (PBE, optimized geometry)
# N(E_F)   0.0 states/eV/f.u.
data_BaThCl6
_chemical_formula_sum 'Ba1 Th1 Cl6'
_symmetry_space_group_name_H-M 'P 1'
_symmetry_Int_Tables_number 1
_cell_length_a 7.046
_cell_length_b 7.046
_cell_length_c 7.226
_cell_angle_alpha 97.26
_cell_angle_beta 97.26
_cell_angle_gamma 116.16
loop_
_symmetry_equiv_pos_as_xyz
'x,y,z'
loop_
_atom_site_label
_atom_site_fract_x
_atom_site_fract_y
_atom_site_fract_z
_atom_site_occupancy
Ba1 0.000 0.000 0.000 1
Th1 0.500 0.500 0.500 1
Cl1 0.144 0.448 0.263 1
Cl2 0.246 0.246 0.709 1
Cl3 0.448 0.144 0.263 1
Cl4 0.552 0.856 0.737 1
Cl5 0.754 0.754 0.291 1
Cl6 0.856 0.552 0.737 1

***

*b*
# BaThCl6 (PBE, optimized geometry)
# N(E_F)   0.0 states/eV/f.u.
data_BaThCl6
_chemical_formula_sum 'Ba1 Th1 Cl6'
_symmetry_space_group_name_H-M 'P 1'
_symmetry_Int_Tables_number 1
_cell_length_a 7.915
_cell_length_b 7.915
_cell_length_c 7.915
_cell_angle_alpha 54.42
_cell_angle_beta 54.42
_cell_angle_gamma 54.42
loop_
_symmetry_equiv_pos_as_xyz
'x,y,z'
loop_
_atom_site_label
_atom_site_fract_x
_atom_site_fract_y
_atom_site_fract_z
_atom_site_occupancy
Ba1 0.000 0.000 0.000 1
Th1 0.500 0.500 0.500 1
Cl1 0.116 0.427 0.724 1
Cl2 0.276 0.884 0.573 1
Cl3 0.427 0.724 0.116 1
Cl4 0.573 0.276 0.884 1
Cl5 0.724 0.116 0.427 1
Cl6 0.884 0.573 0.276 1

***

Calculated relative energies: *a* 13; *b* 0, given in meV/atom